No. 1
## GeTeIr2Pb (PBE-GGA)

Data for an optimized crystal structure of GeTeIr2Pb.

Values from the calculation:
**DOS at the Fermi energy**: 0.5811 states/eV per atom
**Size of the total moment**: 0.0 Bohr magnetons per cell
**E_form (uncorrected)**: 78.7 kJ per mole of atoms

Cell lengths 4.677, 4.677, 5.470 Å; angles 90.00, 90.00, 90.00 degrees
Space group P4/mmm (No. 123)
Unique sites:
Ge 0.000 0.000 0.000 [1 per cell]
Te 0.000 0.000 0.500 [1 per cell]
Ir 0.000 0.500 0.000 [2 per cell]
Pb 0.500 0.500 0.500 [1 per cell]

=====

No. 2
## NdDy2Tm (PBE-GGA)

Data for an optimized crystal structure of NdDy2Tm.

Values from the calculation:
**DOS at the Fermi energy**: 1.6036 states/eV per atom
**Distance to the lowest polymorph of the same formula**: 6.7 meV per atom
**Size of the total moment**: 0.0 Bohr magnetons per cell
**ΔH_f (0 K)**: 0.026 eV/atom

Cell lengths 5.050, 5.050, 10.049 Å; angles 90.00, 90.00, 90.00 degrees
Space group I4/mmm (No. 139)
Unique sites:
Nd 0.000 0.000 0.000 [2 per cell]
Dy 0.000 0.500 0.250 [4 per cell]
Tm 0.000 0.000 0.500 [2 per cell]

=====

No. 3
## Li2VCu2 (PBE-GGA)

Data for an optimized crystal structure of Li2VCu2.

Values from the calculation:
**DOS at the Fermi energy**: 0.6830 states/eV per atom
**Distance to the lowest polymorph of the same formula**: 0.0 meV per atom
**Size of the total moment**: 1.4 Bohr magnetons per cell
**ΔH_f (0 K)**: 0.216 eV/atom

Cell lengths 7.093, 7.093, 2.484 Å; angles 90.00, 90.00, 90.00 degrees
Space group P4/mbm (No. 127)
Unique sites:
Li 0.117 0.383 0.000 [4 per cell]
V 0.000 0.000 0.000 [2 per cell]
Cu 0.185 0.685 0.500 [4 per cell]

=====

No. 4
## Cs5U2Cl12 (PBE-GGA)

Data for an optimized crystal structure of Cs5U2Cl12.

Values from the calculation:
**DOS at the Fermi energy**: 0.8385 states/eV per atom
**Size of the total moment**: 10.0 Bohr magnetons per cell
**E_form (uncorrected)**: -179.7 kJ per mole of atoms

Cell lengths 16.801, 9.993, 9.795 Å; angles 90.00, 120.21, 90.00 degrees
Space group C2/m (No. 12)
Unique sites:
Cs 0.000 0.000 0.000 [2 per cell]
Cs 0.194 0.500 0.009 [4 per cell]
Cs 0.235 0.500 0.473 [4 per cell]
U 0.000 0.249 0.500 [4 per cell]
Cl 0.004 0.500 0.345 [4 per cell]
Cl 0.077 0.207 0.313 [8 per cell]
Cl 0.087 0.000 0.669 [4 per cell]
Cl 0.185 0.296 0.721 [8 per cell]

=====

No. 5
## PaVMo (PBE-GGA)

Data for an optimized crystal structure of PaVMo.

Values from the calculation:
**DOS at the Fermi energy**: 1.1694 states/eV per atom
**Distance to the lowest polymorph of the same formula**: 713.4 meV per atom
**Size of the total moment**: 0.0 Bohr magnetons per cell
**ΔH_f (0 K)**: 0.847 eV/atom

Cell lengths 2.732, 2.732, 15.381 Å; angles 90.00, 90.00, 90.00 degrees
Space group I4mm (No. 107)
Unique sites:
Pa 0.000 0.000 0.000 [2 per cell]
V 0.000 0.000 0.656 [2 per cell]
Mo 0.000 0.000 0.817 [2 per cell]

=====

> Which of these has the lowest DOS at the Fermi energy?

GeTeIr2Pb

=====

> What is the formula in the first record?

GeTeIr2Pb